(1)
## Ti2PbO4 (PBE)

Data for an optimized crystal structure of Ti2PbO4.

Values from the calculation:
* uncorrected energy: -7.849 eV/atom
* Fermi-level density of states: 7.04 states/eV per cell
* raw formation energy: -2230.6 meV per atom

a b c (Å): 6.135 6.781 6.779
angles (deg): 126.18 116.77 90.13
Last column: magnetic moment on the atom in μB.
Fractional coordinates of all 14 atoms:
O 0.436 0.132 0.304  0.01
Ti 0.125 0.375 0.750  -0.05
Ti 0.625 0.875 0.250  -0.04
O 0.381 0.185 0.763  0.01
Ti 0.625 0.375 0.750  -0.04
O 0.869 0.132 0.304  0.01
Pb 0.259 0.740 0.520  0.03
O 0.403 0.598 0.805  0.01
O 0.869 0.565 0.737  0.01
O 0.847 0.152 0.695  0.01
Ti 0.625 0.375 0.250  1.45
O 0.381 0.618 0.196  0.01
O 0.814 0.618 0.196  0.01
Pb 0.991 0.010 0.980  0.03



(2)
## TiPbO3 (PBE)

Data for an optimized crystal structure of TiPbO3.

Values from the calculation:
* uncorrected energy: -7.534 eV/atom
* Fermi-level density of states: 0.00 states/eV per cell
* raw formation energy: -2238.9 meV per atom

a b c (Å): 3.783 5.959 7.103
angles (deg): 90.00 106.58 90.00
Fractional coordinates of all 10 atoms:
O 0.886 0.508 0.287
Pb 0.676 0.250 0.833
O 0.114 0.492 0.713
O 0.886 0.992 0.287
Ti 0.966 0.250 0.438
O 0.501 0.750 0.501
Pb 0.324 0.750 0.167
Ti 0.034 0.750 0.562
O 0.114 0.008 0.713
O 0.499 0.250 0.499



(3)
## Ti8PbO2 (PBE)

Data for an optimized crystal structure of Ti8PbO2.

Values from the calculation:
* uncorrected energy: -7.735 eV/atom
* Fermi-level density of states: 9.04 states/eV per cell
* raw formation energy: -754.4 meV per atom

a b c (Å): 4.338 6.617 6.779
angles (deg): 60.79 91.59 93.26
Fractional coordinates of all 11 atoms:
Ti 0.500 0.254 0.492
Ti 0.500 0.746 0.508
O 0.000 0.240 0.521
O 0.000 0.760 0.479
Ti 0.059 0.127 0.273
Pb 0.500 0.000 0.000
Ti 0.059 0.399 0.727
Ti 0.941 0.873 0.727
Ti 0.338 0.607 0.000
Ti 0.941 0.601 0.273
Ti 0.662 0.393 0.000



(4)
## TiPbO2 (PBE)

Data for an optimized crystal structure of TiPbO2.

Values from the calculation:
* uncorrected energy: -7.385 eV/atom
* Fermi-level density of states: 3.01 states/eV per cell
* raw formation energy: -2005.0 meV per atom

a b c (Å): 7.283 7.283 7.283
angles (deg): 24.87 24.87 24.87
Last column: magnetic moment on the atom in μB.
Fractional coordinates of all 4 atoms:
Pb 0.000 0.000 0.000  0.01
O 0.120 0.120 0.120  -0.01
O 0.880 0.880 0.880  -0.01
Ti 0.500 0.500 0.500  0.58



(5)
## Ti2PbO5 (PBE)

Data for an optimized crystal structure of Ti2PbO5.

Values from the calculation:
* uncorrected energy: -8.113 eV/atom
* Fermi-level density of states: 0.00 states/eV per cell
* raw formation energy: -2577.2 meV per atom

a b c (Å): 3.733 5.346 11.728
angles (deg): 90.00 90.00 90.00
Fractional coordinates of all 16 atoms:
O 0.500 0.523 0.176
O 0.500 0.908 0.372
Ti 0.500 0.590 0.652
Pb 0.000 0.106 0.500
Ti 0.500 0.590 0.348
O 0.000 0.477 0.676
O 0.000 0.092 0.872
Ti 0.000 0.410 0.152
O 0.000 0.551 0.000
Ti 0.000 0.410 0.848
O 0.500 0.449 0.500
O 0.500 0.523 0.824
O 0.000 0.477 0.324
Pb 0.500 0.894 0.000
O 0.000 0.092 0.128
O 0.500 0.908 0.628



(6)
## TiPbO3 (PBE)

Data for an optimized crystal structure of TiPbO3.

Values from the calculation:
* uncorrected energy: -7.399 eV/atom
* Fermi-level density of states: 0.00 states/eV per cell
* raw formation energy: -2103.2 meV per atom

a b c (Å): 18.581 7.420 7.420
angles (deg): 155.47 154.60 25.40
Fractional coordinates of all 10 atoms:
Ti 0.333 0.993 0.007
Ti 0.667 0.007 0.993
O 0.884 0.829 0.171
O 0.801 0.286 0.714
Pb 0.907 0.975 0.025
O 0.116 0.171 0.829
O 0.524 0.288 0.712
Pb 0.093 0.025 0.975
O 0.476 0.712 0.288
O 0.199 0.714 0.286